Compound: KMgCl2
Source: Alexandria via LeMat-Bulk
Functional: GGA-PBE
Structure: relaxed

Cell and atoms, written as CIF:
```
data_KMgCl2
_cell_length_a 3.589
_cell_length_b 5.234
_cell_length_c 5.393
_cell_angle_alpha 90.00
_cell_angle_beta 90.00
_cell_angle_gamma 90.00
_symmetry_space_group_name_H-M 'P m m m'
_symmetry_Int_Tables_number 47
_symmetry_space_group_name_Hall '-P 2 2'
loop_
_atom_site_label
_atom_site_fract_x
_atom_site_fract_y
_atom_site_fract_z
K1 0.000 0.000 0.000
Mg1 0.000 0.500 0.500
Cl1 0.500 0.000 0.500
Cl2 0.500 0.500 0.000
```

Computed properties:
VASP energy ... -2.79 eV/atom
Magnetic moment ... 0.00 μB/f.u.
Distance to the lowest polymorph of the same formula ... 71 kJ/mol of formula units
ρ ... 2.20 g/cm3
Formation energy without anion corrections ... -4.79 eV per formula unit


Compound: KMgCl2
Source: Alexandria via LeMat-Bulk
Functional: GGA-PBE
Structure: relaxed

Cell and atoms, written as CIF:
```
data_KMgCl2
_cell_length_a 8.566
_cell_length_b 8.045
_cell_length_c 3.837
_cell_angle_alpha 90.00
_cell_angle_beta 116.54
_cell_angle_gamma 90.00
_symmetry_space_group_name_H-M 'C 1 2/m 1'
_symmetry_Int_Tables_number 12
_symmetry_space_group_name_Hall '-C 2y'
loop_
_atom_site_label
_atom_site_fract_x
_atom_site_fract_y
_atom_site_fract_z
K1 0.000 0.000 0.000
Mg1 0.000 0.500 0.000
Cl1 0.250 0.250 0.000
```

Computed properties:
VASP energy ... -2.81 eV/atom
Magnetic moment ... 0.00 μB/f.u.
Distance to the lowest polymorph of the same formula ... 65 kJ/mol of formula units
ρ ... 1.89 g/cm3
Formation energy without anion corrections ... -4.85 eV per formula unit


Compound: K6MgCl8
Source: Alexandria via LeMat-Bulk
Functional: GGA-PBE
Structure: relaxed

Cell and atoms, written as CIF:
```
data_K6MgCl8
_cell_length_a 9.2400
_cell_length_b 9.2400
_cell_length_c 18.1853
_cell_angle_alpha 90.00
_cell_angle_beta 90.00
_cell_angle_gamma 120.00
_symmetry_space_group_name_H-M 'R -3'
_symmetry_Int_Tables_number 148
_symmetry_space_group_name_Hall '-R 3'
loop_
_atom_site_label
_atom_site_fract_x
_atom_site_fract_y
_atom_site_fract_z
K1 0.0225 0.6197 0.4193
Mg1 0.0000 0.0000 0.5000
Cl1 0.0000 0.0000 0.1559
Cl2 0.0118 0.7785 0.5814
```

Computed properties:
VASP energy ... -3.43 eV/atom
Magnetic moment ... 0.00 μB/f.u.
ρ ... 2.01 g/cm3
Formation energy without anion corrections ... -28.54 eV per formula unit